A crystal of BaFeP3 relaxed with PBEsol, computed with meta-GGA SCAN.

a = 5.3908 Å, b = 5.3908 Å, c = 5.3908 Å
α = 90.00°, β = 90.00°, γ = 90.00°
Space group Pm-3m (No. 221)
Asymmetric unit:
Ba  0.0000  0.0000  0.0000
Fe  0.5000  0.5000  0.5000
P  0.0000  0.0000  0.5000

Values from the calculation:
Its total magnetization is 3.08 μB per formula unit. For the formation energy from the elements, the calculation gives 2012.5 meV per atom. The energy is -15.763 eV per atom.